Record 1
VASP calculation (GGA-PBE) on a relaxed structure of ThPaIr2.

Lattice parameters (Å, degrees): 4.0576 4.0576 20.0115 90.00 90.00 120.00
Space group R-3m (No. 166, hexagonal axes)
Symmetry-distinct sites (fractional):
Th  0.0000  0.0000  0.0000 x3
Pa  0.0000  0.0000  0.5000 x3
Ir  0.0000  0.0000  0.2448 x6

Output
As for the crystal system: trigonal. The value obtained for the calculated formation energy is -0.939 eV/atom. Its distance to the lowest polymorph of the same formula is 0 meV/atom. The calculated total energy is -0.705 Ry/atom.

Record 2
VASP calculation (GGA-PBE) on a relaxed structure of ThPaIr2.

Lattice parameters (Å, degrees): 3.9858 3.9858 20.9728 90.00 90.00 120.00
Space group R3m (No. 160, hexagonal axes)
Symmetry-distinct sites (fractional):
Th  0.0000  0.0000  0.0000 x3
Pa  0.0000  0.0000  0.1715 x3
Ir  0.0000  0.0000  0.5805 x3
Ir  0.0000  0.0000  0.7576 x3

Output
As for the crystal system: trigonal. The value obtained for the calculated formation energy is -0.807 eV/atom. Its distance to the lowest polymorph of the same formula is 132 meV/atom. The calculated total energy is -0.696 Ry/atom.

Record 3
VASP calculation (GGA-PBE) on a relaxed structure of ThPaIr.

Lattice parameters (Å, degrees): 3.650 3.650 11.067 90.00 90.00 90.00
Space group I4mm (No. 107)
Symmetry-distinct sites (fractional):
Th  0.000  0.000  0.000 x2
Pa  0.000  0.000  0.290 x2
Ir  0.000  0.000  0.681 x2

Output
As for the crystal system: tetragonal. The value obtained for the calculated formation energy is -0.460 eV/atom. Its distance to the lowest polymorph of the same formula is 121 meV/atom. The calculated total energy is -0.665 Ry/atom.

Record 4
VASP calculation (GGA-PBE) on a relaxed structure of ThPaIr.

Lattice parameters (Å, degrees): 3.787 11.775 6.998 90.00 90.00 90.00
Space group Cmcm (No. 63)
Symmetry-distinct sites (fractional):
Th  0.000  0.206  0.250 x4
Pa  0.000  0.500  0.000 x4
Ir  0.000  0.093  0.750 x4

Output
As for the crystal system: orthorhombic. The value obtained for the calculated formation energy is -0.581 eV/atom. Its distance to the lowest polymorph of the same formula is 0 meV/atom. The calculated total energy is -0.674 Ry/atom.

Record 5
VASP calculation (GGA-PBE) on a relaxed structure of ThPa3Ir4.

Lattice parameters (Å, degrees): 5.994 4.138 7.723 90.00 111.69 90.00
Space group Pm (No. 6)
Symmetry-distinct sites (fractional):
Th  0.000  0.000  0.000 x1
Pa  0.002  0.000  0.499 x1
Pa  0.450  0.500  0.871 x1
Pa  0.452  0.500  0.374 x1
Ir  0.517  0.000  0.641 x1
Ir  0.530  0.000  0.146 x1
Ir  0.923  0.500  0.714 x1
Ir  0.926  0.500  0.239 x1

Output
As for the crystal system: monoclinic. The value obtained for the calculated formation energy is -0.920 eV/atom. The calculated total energy is -0.723 Ry/atom.

Record 6
VASP calculation (GGA-PBE) on a relaxed structure of PaTiIr.

Lattice parameters (Å, degrees): 5.562 5.635 7.218 90.00 90.00 90.00
Space group Imma (No. 74)
Symmetry-distinct sites (fractional):
Pa  0.000  0.250  0.137 x4
Ti  0.250  0.250  0.750 x4
Ir  0.000  0.000  0.500 x4

Output
As for the crystal system: orthorhombic. The value obtained for the calculated formation energy is -0.619 eV/atom. Its distance to the lowest polymorph of the same formula is 0 meV/atom. The calculated total energy is -0.689 Ry/atom.

Record 7
VASP calculation (GGA-PBE) on a relaxed structure of PaTiIr.

Lattice parameters (Å, degrees): 6.6970 6.6970 4.5490 90.00 90.00 120.00
Space group P-62m (No. 189)
Symmetry-distinct sites (fractional):
Pa  0.0000  0.4765  0.0000 x3
Ti  0.0000  0.0000  0.0000 x1
Ti  0.3333  0.6667  0.5000 x2
Ir  0.0000  0.7577  0.5000 x3

Output
As for the crystal system: hexagonal. The value obtained for the calculated formation energy is -0.343 eV/atom. Its distance to the lowest polymorph of the same formula is 277 meV/atom. The calculated total energy is -0.668 Ry/atom.

Record 8
VASP calculation (GGA-PBE) on a relaxed structure of PaTiIr2.

Lattice parameters (Å, degrees): 4.510 5.952 5.546 90.00 90.00 90.00
Space group Pmmn (No. 59, origin choice 2)
Symmetry-distinct sites (fractional):
Pa  0.250  0.250  0.141 x2
Ti  0.250  0.750  0.312 x2
Ir  0.250  0.009  0.683 x4

Output
As for the crystal system: orthorhombic. The value obtained for the calculated formation energy is -0.750 eV/atom. Its distance to the lowest polymorph of the same formula is 39 meV/atom. The calculated total energy is -0.700 Ry/atom.

| no. | D(E_F) (states/eV/f.u.) |
| --- | --- |
| 1 | 2.101 |
| 2 | 3.406 |
| 3 | 3.770 |
| 4 | 4.478 |
| 5 | 8.514 |
| 6 | 4.708 |
| 7 | 3.973 |
| 8 | 3.685 |